Compound: AcPrCuRh
Source: Alexandria via LeMat-Bulk
Functional: PBE-GGA
Structure: optimized geometry

abc: 5.197 5.197 5.197
angles: 60.00 60.00 60.00
Sites, in units of the cell vectors:
Pr 0.500 0.500 0.500
Ac 0.000 0.000 0.000
Rh 0.750 0.750 0.750
Cu 0.250 0.250 0.250

Results
- M_tot: 0.0 μB/cell
- Formation energy: -0.341 eV per atom
- E_tot: -21.698 eV for the cell shown
- Space group: F-43m